First-principles (PBE) data for crystalline Bi3AuSe at its relaxed geometry, as listed in the Alexandria database.

Results
The volume comes out at 34.07 Å³ per atom. The total energy comes out at -15.5 eV per cell. The total magnetic moment is 0.00 μB/f.u. The value obtained for the distance to the lowest polymorph of the same formula is 0.000 eV per atom. The density is 8.8 g/cm³.

a = 5.544 Å, b = 5.544 Å, c = 5.544 Å
α = 90.00°, β = 90.00°, γ = 90.00°
Space group Pm-3m (No. 221)
Unique sites:
Bi  0.000  0.000  0.500
Au  0.000  0.000  0.000
Se  0.500  0.500  0.500

---

First-principles (PBE) data for crystalline Tl2ReCl at its relaxed geometry, as listed in the Alexandria database.

Results
The volume comes out at 34.76 Å³ per atom. The total energy comes out at -59.5 eV per cell. The total magnetic moment is 1.94 μB/f.u. The value obtained for the distance to the lowest polymorph of the same formula is 0.560 eV per atom. The density is 7.5 g/cm³.

a = 5.952 Å, b = 5.952 Å, c = 15.696 Å
α = 90.00°, β = 90.00°, γ = 90.00°
Space group I-42d (No. 122)
Unique sites:
Tl  0.183  0.250  0.125
Re  0.000  0.000  0.000
Cl  0.000  0.000  0.500